! CsKTaO4 (PBE-GGA, relaxed); values from VASP
&SYSTEM
  ibrav = 0, nat = 7, ntyp = 4
/
ATOMIC_SPECIES
O 16.00 O.upf
K 39.10 K.upf
Ta 180.95 Ta.upf
Cs 132.91 Cs.upf
ATOMIC_POSITIONS angstrom
O -0.9142 -2.1383 3.5239
O 5.4941 2.4416 1.3442
O 1.2176 4.2701 1.3442
O 0.9142 2.1383 3.5239
K 3.3559 3.3559 0.0000
Ta 0.0000 3.3559 2.4341
Cs 0.0000 0.0000 0.0000
CELL_PARAMETERS angstrom
6.7117 0.0000 0.0000
0.0000 6.7117 0.0000
-3.3559 -3.3559 4.8681
! Uncorrected formation energy, eV per atom: -2.016
! Theoretical density, g cm⁻³: 3.2
! DOS(E_F), states/eV/atom: 1.45

---

! Cs2K2TcO6 (PBE-GGA, relaxed); values from VASP
&SYSTEM
  ibrav = 0, nat = 11, ntyp = 4
/
ATOMIC_SPECIES
O 16.00 O.upf
K 39.10 K.upf
Cs 132.91 Cs.upf
Tc 98.00 Tc.upf
ATOMIC_POSITIONS angstrom
O 2.0682 0.4353 0.6383
O 1.5628 0.9375 5.1315
O 4.2715 1.6355 -0.3500
O 1.3874 3.4021 4.0192
O 3.7660 2.1378 4.1431
O 4.4469 -0.8291 0.7622
K 3.0268 -0.2547 3.0863
K 2.8075 2.8277 1.6952
Cs -0.7185 4.5533 1.5720
Cs -0.2599 -1.8915 4.4805
Tc 3.4063 -0.0444 -0.6355
CELL_PARAMETERS angstrom
-0.8411 6.2772 0.7940
-0.1372 -3.6153 5.2585
6.8126 -0.0889 -1.2710
! Uncorrected formation energy, eV per atom: -1.355
! Theoretical density, g cm⁻³: 3.7
! DOS(E_F), states/eV/atom: 0.80

---

- Which of these has the lowest DOS(E_F)?
  Cs2K2TcO6